No. 1
{"formula": "BaBe2Pb2", "functional": "PBE", "state": "relaxed", "lattice": [[4.6481, 0.0000, 0.0000], [0.0000, 4.6481, 0.0000], [2.3240, 2.3240, 5.7253]], "species": ["Be", "Be", "Pb", "Pb", "Ba"], "frac_coords": [[0.7500, 0.2500, 0.5000], [0.2500, 0.7500, 0.5000], [0.3588, 0.3588, 0.2825], [0.6412, 0.6412, 0.7175], [0.0000, 0.0000, 0.0000]]}


No. 2
{"formula": "Ba3BePb", "functional": "PBE", "state": "relaxed", "lattice": [[-0.1543, 5.9953, 0.7975], [-4.7495, -0.6141, 3.6972], [3.7446, -0.5318, 4.7222]], "species": ["Ba", "Ba", "Ba", "Be", "Pb"], "frac_coords": [[0.0000, 0.5000, 0.0000], [0.5000, 0.0000, 0.0000], [0.0000, 0.0000, 0.5000], [0.0000, 0.0000, 0.0000], [0.5000, 0.5000, 0.5000]]}


No. 3
{"formula": "BaBeRe2Pb", "functional": "PBE", "state": "relaxed", "lattice": [[4.5055, 0.0000, 0.0000], [0.0000, 5.3986, 0.0000], [0.0000, 0.0000, 4.5055]], "species": ["Ba", "Be", "Pb", "Re", "Re"], "frac_coords": [[0.0000, 0.5000, 0.0000], [0.0000, 0.0000, 0.0000], [0.5000, 0.5000, 0.5000], [0.0000, 0.0000, 0.5000], [0.5000, 0.0000, 0.0000]]}


No. 4
{"formula": "BaBeRhPb2", "functional": "PBE", "state": "relaxed", "lattice": [[6.4065, 0.0000, 0.0000], [0.0000, 5.0585, 0.0000], [0.0000, 0.0000, 6.4065]], "species": ["Rh", "Pb", "Pb", "Ba", "Be"], "frac_coords": [[0.0000, 0.5000, 0.0000], [0.5000, 0.0000, 0.0000], [0.0000, 0.0000, 0.5000], [0.0000, 0.0000, 0.0000], [0.5000, 0.5000, 0.5000]]}


No. 5
{"formula": "BaTa2BePb", "functional": "PBE", "state": "relaxed", "lattice": [[5.2816, 0.0000, 0.0000], [0.0000, 4.6557, 0.0000], [0.0000, 0.0000, 5.2816]], "species": ["Pb", "Ta", "Ta", "Ba", "Be"], "frac_coords": [[0.5000, 0.5000, 0.5000], [0.5000, 0.0000, 0.0000], [0.0000, 0.0000, 0.5000], [0.0000, 0.0000, 0.0000], [0.0000, 0.5000, 0.0000]]}


No. 6
{"formula": "BaBeTcPb2", "functional": "PBE", "state": "relaxed", "lattice": [[5.3342, 0.0000, 0.0000], [0.0000, 5.8829, 0.0000], [0.0000, 0.0000, 5.3342]], "species": ["Pb", "Pb", "Tc", "Ba", "Be"], "frac_coords": [[0.0000, 0.0000, 0.5000], [0.5000, 0.0000, 0.0000], [0.0000, 0.0000, 0.0000], [0.0000, 0.5000, 0.0000], [0.5000, 0.5000, 0.5000]]}


No. 7
{"formula": "Ba2BeTlPb", "functional": "PBE", "state": "relaxed", "lattice": [[6.6331, 0.0000, 0.0000], [0.0000, 5.7599, 0.0000], [0.0000, 0.0000, 6.6331]], "species": ["Tl", "Ba", "Ba", "Be", "Pb"], "frac_coords": [[0.0000, 0.0000, 0.0000], [0.0000, 0.0000, 0.5000], [0.5000, 0.0000, 0.0000], [0.5000, 0.5000, 0.5000], [0.0000, 0.5000, 0.0000]]}


No. 8
{"formula": "BaBePb2W", "functional": "PBE", "state": "relaxed", "lattice": [[-0.8529, 0.2712, -4.9367], [4.5353, -3.2526, -0.9622], [-2.8813, -4.0983, 0.2727]], "species": ["W", "Pb", "Pb", "Be", "Ba"], "frac_coords": [[0.5000, 0.5000, 0.5000], [0.0000, 0.0000, 0.5000], [0.5000, 0.0000, 0.0000], [0.0000, 0.0000, 0.0000], [0.0000, 0.5000, 0.0000]]}


No. 9
{"formula": "Ba2YBePb", "functional": "PBE", "state": "relaxed", "lattice": [[-2.5373, -5.5140, -2.7321], [5.1136, -1.1653, -2.3973], [1.7402, -3.4775, 5.4023]], "species": ["Ba", "Ba", "Y", "Pb", "Be"], "frac_coords": [[0.5000, 0.0000, 0.0000], [0.0000, 0.0000, 0.5000], [0.0000, 0.0000, 0.0000], [0.0000, 0.5000, 0.0000], [0.5000, 0.5000, 0.5000]]}


No. 10
{"formula": "BaBePd", "functional": "PBE", "state": "relaxed", "lattice": [[6.3837, 0.0000, 0.0082], [0.0000, 3.9982, 0.0000], [-4.2430, 0.0000, 11.5359]], "species": ["Ba", "Ba", "Ba", "Ba", "Pd", "Pd", "Pd", "Pd", "Be", "Be", "Be", "Be"], "frac_coords": [[0.3034, 0.5000, 0.0974], [0.6966, 0.0000, 0.4026], [0.3034, 0.0000, 0.5974], [0.6966, 0.5000, 0.9026], [0.7643, 0.0000, 0.1340], [0.2357, 0.5000, 0.3660], [0.2357, 0.0000, 0.8660], [0.7643, 0.5000, 0.6340], [0.0951, 0.0000, 0.2809], [0.9049, 0.5000, 0.2191], [0.0951, 0.5000, 0.7809], [0.9049, 0.0000, 0.7191]], "relative_energy_kcal_per_mol_atoms": 0.00}


No. 11
{"formula": "BaBe3Pd", "functional": "PBE", "state": "relaxed", "lattice": [[-0.1786, 4.8769, 1.0604], [-3.7464, -0.8321, 3.1958], [3.2975, -0.6812, 3.6883]], "species": ["Be", "Be", "Be", "Ba", "Pd"], "frac_coords": [[0.0000, 0.0000, 0.5000], [0.5000, 0.0000, 0.0000], [0.0000, 0.5000, 0.0000], [0.0000, 0.0000, 0.0000], [0.5000, 0.5000, 0.5000]], "relative_energy_kcal_per_mol_atoms": 51.29}


No. 12
{"formula": "BaBePd", "functional": "PBE", "state": "relaxed", "lattice": [[-1.5063, -0.9489, 4.6116], [0.4495, -4.0303, -0.6825], [3.1449, 2.1982, 1.4795]], "species": ["Pd", "Be", "Ba"], "frac_coords": [[0.1665, 0.0000, 0.0000], [0.1670, 0.6667, 0.3333], [0.6665, 0.3333, 0.6667]], "relative_energy_kcal_per_mol_atoms": 1.83}


Number 1: E -3.269 eV/atom. Number 2: E -2.449 eV/atom. Number 3: E -5.542 eV/atom. Number 4: E -2.450 eV/atom. Number 5: E -3.988 eV/atom. Number 6: E -3.966 eV/atom. Number 7: E -2.146 eV/atom. Number 8: E -4.017 eV/atom. Number 9: E -2.634 eV/atom. Number 10: E -3.915 eV/atom. Number 11: E -1.333 eV/atom. Number 12: E -3.836 eV/atom.